No. 1
The following is a DFT calculation (GGA-PBE) of a relaxed structure of TaTiNiOs.

The structure in POSCAR format:
```
TaTiNiOs
1.0
0.000 3.108 3.108
3.108 0.000 3.108
3.108 3.108 0.000
Ta Ti Ni Os
1 1 1 1
direct
0.000 0.000 0.000 Ta
0.500 0.500 0.500 Ti
0.750 0.750 0.750 Ni
0.250 0.250 0.250 Os
```

Summary:
Size of the total moment: 0.000 Bohr magnetons per cell
Total energy: -9.579 eV/atom
Energy of formation: -0.389 eV/atom
Space-group type: No. 216


No. 2
The following is a DFT calculation (GGA-PBE) of a relaxed structure of SmPuThPa.

The structure in POSCAR format:
```
SmPuThPa
1.0
0.000 3.857 3.857
3.857 0.000 3.857
3.857 3.857 0.000
Sm Pu Th Pa
1 1 1 1
direct
0.000 0.000 0.000 Sm
0.750 0.750 0.750 Pu
0.250 0.250 0.250 Th
0.500 0.500 0.500 Pa
```

Summary:
Size of the total moment: 7.481 Bohr magnetons per cell
Total energy: -8.671 eV/atom
Energy of formation: 0.321 eV/atom
Space-group type: No. 216


Look up the size of the total moment of the first one. 0.000 Bohr magnetons per cell


Which formula does entry 2 have? SmPuThPa


Please write out number 2 again, unchanged.
The following is a DFT calculation (GGA-PBE) of a relaxed structure of SmPuThPa.

The structure in POSCAR format:
```
SmPuThPa
1.0
0.000 3.857 3.857
3.857 0.000 3.857
3.857 3.857 0.000
Sm Pu Th Pa
1 1 1 1
direct
0.000 0.000 0.000 Sm
0.750 0.750 0.750 Pu
0.250 0.250 0.250 Th
0.500 0.500 0.500 Pa
```

Summary:
Size of the total moment: 7.481 Bohr magnetons per cell
Total energy: -8.671 eV/atom
Energy of formation: 0.321 eV/atom
Space-group type: No. 216